*i*
Below is an optimized crystal structure of ScCuSbIr, with properties calculated at the PBE-GGA level.

```
data_ScCuSbIr
_chemical_formula_sum 'Sc4 Cu4 Sb4 Ir4'
_cell_length_a 6.534
_cell_length_b 6.534
_cell_length_c 6.534
_cell_angle_alpha 90.00
_cell_angle_beta 90.00
_cell_angle_gamma 90.00
_symmetry_space_group_name_H-M 'F -4 3 m'
_symmetry_Int_Tables_number 216
_symmetry_space_group_name_Hall 'F -4 2 3'
loop_
_atom_site_label
_atom_site_type_symbol
_atom_site_fract_x
_atom_site_fract_y
_atom_site_fract_z
_atom_site_occupancy
Sc1 Sc 0.000 0.000 0.000 1
Cu1 Cu 0.000 0.000 0.500 1
Sb1 Sb 0.250 0.250 0.250 1
Ir1 Ir 0.250 0.250 0.750 1
```

Properties
Magnetic moment, μB per formula unit: 0.0

***

*ii*
Below is an optimized crystal structure of ScCuSbIr, with properties calculated at the PBE-GGA level.

```
data_ScCuSbIr
_chemical_formula_sum 'Sc4 Cu4 Sb4 Ir4'
_cell_length_a 6.483
_cell_length_b 6.483
_cell_length_c 6.483
_cell_angle_alpha 90.00
_cell_angle_beta 90.00
_cell_angle_gamma 90.00
_symmetry_space_group_name_H-M 'F -4 3 m'
_symmetry_Int_Tables_number 216
_symmetry_space_group_name_Hall 'F -4 2 3'
loop_
_atom_site_label
_atom_site_type_symbol
_atom_site_fract_x
_atom_site_fract_y
_atom_site_fract_z
_atom_site_occupancy
Sc1 Sc 0.000 0.000 0.000 1
Cu1 Cu 0.250 0.250 0.250 1
Sb1 Sb 0.000 0.000 0.500 1
Ir1 Ir 0.250 0.250 0.750 1
```

Properties
Magnetic moment, μB per formula unit: 0.0

***

Relative calculated energies, zero for the most stable structure, unit eV/atom: *i* 0.238; *ii* 0.000.

***

*i*
Below is an optimized crystal structure of ScCuSiIr, with properties calculated at the PBE-GGA level.

```
data_ScCuSiIr
_chemical_formula_sum 'Sc4 Cu4 Si4 Ir4'
_cell_length_a 6.158
_cell_length_b 6.158
_cell_length_c 6.158
_cell_angle_alpha 90.00
_cell_angle_beta 90.00
_cell_angle_gamma 90.00
_symmetry_space_group_name_H-M 'F -4 3 m'
_symmetry_Int_Tables_number 216
_symmetry_space_group_name_Hall 'F -4 2 3'
loop_
_atom_site_label
_atom_site_type_symbol
_atom_site_fract_x
_atom_site_fract_y
_atom_site_fract_z
_atom_site_occupancy
Sc1 Sc 0.000 0.000 0.000 1
Cu1 Cu 0.250 0.250 0.750 1
Si1 Si 0.000 0.000 0.500 1
Ir1 Ir 0.250 0.250 0.250 1
```

Properties
Magnetic moment, μB per formula unit: 0.0

***

*ii*
Below is an optimized crystal structure of ScCuSiIr, with properties calculated at the PBE-GGA level.

```
data_ScCuSiIr
_chemical_formula_sum 'Sc4 Cu4 Si4 Ir4'
_cell_length_a 6.224
_cell_length_b 6.224
_cell_length_c 6.224
_cell_angle_alpha 90.00
_cell_angle_beta 90.00
_cell_angle_gamma 90.00
_symmetry_space_group_name_H-M 'F -4 3 m'
_symmetry_Int_Tables_number 216
_symmetry_space_group_name_Hall 'F -4 2 3'
loop_
_atom_site_label
_atom_site_type_symbol
_atom_site_fract_x
_atom_site_fract_y
_atom_site_fract_z
_atom_site_occupancy
Sc1 Sc 0.000 0.000 0.000 1
Cu1 Cu 0.000 0.000 0.500 1
Si1 Si 0.250 0.250 0.250 1
Ir1 Ir 0.250 0.250 0.750 1
```

Properties
Magnetic moment, μB per formula unit: 0.0

***

Relative calculated energies, zero for the most stable structure, unit eV/atom: *i* 0.000; *ii* 0.289.

***

*i*
Below is an optimized crystal structure of ScZnCuIr, with properties calculated at the PBE-GGA level.

```
data_ScZnCuIr
_chemical_formula_sum 'Sc4 Zn4 Cu4 Ir4'
_cell_length_a 6.260
_cell_length_b 6.260
_cell_length_c 6.260
_cell_angle_alpha 90.00
_cell_angle_beta 90.00
_cell_angle_gamma 90.00
_symmetry_space_group_name_H-M 'F -4 3 m'
_symmetry_Int_Tables_number 216
_symmetry_space_group_name_Hall 'F -4 2 3'
loop_
_atom_site_label
_atom_site_type_symbol
_atom_site_fract_x
_atom_site_fract_y
_atom_site_fract_z
_atom_site_occupancy
Sc1 Sc 0.000 0.000 0.000 1
Zn1 Zn 0.250 0.250 0.250 1
Cu1 Cu 0.000 0.000 0.500 1
Ir1 Ir 0.250 0.250 0.750 1
```

Properties
Magnetic moment, μB per formula unit: 0.0

***

*ii*
Below is an optimized crystal structure of ScZnCuIr, with properties calculated at the PBE-GGA level.

```
data_ScZnCuIr
_chemical_formula_sum 'Sc4 Zn4 Cu4 Ir4'
_cell_length_a 6.251
_cell_length_b 6.251
_cell_length_c 6.251
_cell_angle_alpha 90.00
_cell_angle_beta 90.00
_cell_angle_gamma 90.00
_symmetry_space_group_name_H-M 'F -4 3 m'
_symmetry_Int_Tables_number 216
_symmetry_space_group_name_Hall 'F -4 2 3'
loop_
_atom_site_label
_atom_site_type_symbol
_atom_site_fract_x
_atom_site_fract_y
_atom_site_fract_z
_atom_site_occupancy
Sc1 Sc 0.000 0.000 0.000 1
Zn1 Zn 0.000 0.000 0.500 1
Cu1 Cu 0.250 0.250 0.750 1
Ir1 Ir 0.250 0.250 0.250 1
```

Properties
Magnetic moment, μB per formula unit: 0.0

***

Relative calculated energies, zero for the most stable structure, unit eV/atom: *i* 0.135; *ii* 0.000.